(1)
{"formula": "HfOs2Br", "functional": "PBE-GGA", "state": "optimized geometry", "m_tot_mub_per_cell": 0.0, "dos_ef_per_ev_atom": 0.745, "raw_formation_energy_ev_per_atom": 1.35, "polymorph_energy_mev_per_atom": 468, "sg": "I-42d, No. 122", "cell": [[-5.386, 1.294, -0.230], [0.132, -0.435, -5.525], [-4.080, -5.542, -2.442]], "species": ["Br", "Br", "Os", "Os", "Os", "Os", "Hf", "Hf"], "frac_coords": [[0.250, 0.750, 0.500], [0.500, 0.500, 0.000], [0.162, 0.625, 0.250], [0.375, 0.412, 0.750], [0.588, 0.125, 0.250], [0.875, 0.838, 0.750], [0.750, 0.250, 0.500], [0.000, 0.000, 0.000]]}



(2)
{"formula": "HfOs3Br", "functional": "PBE-GGA", "state": "optimized geometry", "m_tot_mub_per_cell": 5.5, "dos_ef_per_ev_atom": 0.818, "raw_formation_energy_ev_per_atom": 2.57, "polymorph_energy_mev_per_atom": 743, "sg": "Pm-3m, No. 221", "cell": [[4.949, 0.000, 0.000], [0.000, 4.949, 0.000], [0.000, 0.000, 4.949]], "species": ["Br", "Os", "Os", "Os", "Hf"], "frac_coords": [[0.500, 0.500, 0.500], [0.500, 0.000, 0.000], [0.000, 0.000, 0.500], [0.000, 0.500, 0.000], [0.000, 0.000, 0.000]]}